P.
Entry from Alexandria via LeMat-Bulk: crystalline SrScP at its relaxed geometry (PBEsol).

a = 4.861 Å, b = 4.861 Å, c = 4.861 Å
α = 60.00°, β = 60.00°, γ = 60.00°
Last column: magnetic moment on the atom in μB.
Fractional coordinates of all 3 atoms:
P1 0.000 0.000 0.000  -0.05
Sc1 0.500 0.500 0.500  1.03
Sr1 0.250 0.250 0.250  0.18

Properties
Theoretical density ... 3.34 Mg/m³
Fermi-level density of states ... 5.026 states/eV/f.u.

=====

Q.
Entry from Alexandria via LeMat-Bulk: crystalline SrScP at its relaxed geometry (PBEsol).

a = 4.701 Å, b = 4.701 Å, c = 4.701 Å
α = 60.00°, β = 60.00°, γ = 60.00°
Fractional coordinates of all 3 atoms:
P1 0.250 0.250 0.250
Sc1 0.000 0.000 0.000
Sr1 0.500 0.500 0.500

Properties
Theoretical density ... 3.70 Mg/m³
Fermi-level density of states ... 2.820 states/eV/f.u.

=====

Stability summary - winner: Q; margin: 1073 meV/atom.

=====

P.
Entry from Alexandria via LeMat-Bulk: crystalline ScTaP2 at its relaxed geometry (PBEsol).

a = 3.782 Å, b = 4.592 Å, c = 4.592 Å
α = 64.19°, β = 65.68°, γ = 65.68°
Fractional coordinates of all 4 atoms:
P1 0.248 0.752 0.752
P2 0.752 0.248 0.248
Sc1 0.500 0.000 0.000
Ta1 0.000 0.500 0.500

Properties
Theoretical density ... 7.62 Mg/m³
Fermi-level density of states ... 1.903 states/eV/f.u.

=====

Q.
Entry from Alexandria via LeMat-Bulk: crystalline ScTaP2 at its relaxed geometry (PBEsol).

a = 3.137 Å, b = 4.435 Å, c = 4.435 Å
α = 90.00°, β = 90.00°, γ = 90.00°
Fractional coordinates of all 4 atoms:
P1 0.000 0.000 0.500
P2 0.000 0.500 0.000
Sc1 0.500 0.500 0.500
Ta1 0.500 0.000 0.000

Properties
Theoretical density ... 7.75 Mg/m³
Fermi-level density of states ... 3.595 states/eV/f.u.

=====

R.
Entry from Alexandria via LeMat-Bulk: crystalline ScTaP2 at its relaxed geometry (PBEsol).

a = 3.115 Å, b = 3.115 Å, c = 8.092 Å
α = 78.90°, β = 78.90°, γ = 60.00°
Fractional coordinates of all 4 atoms:
P1 0.006 0.006 0.982
P2 0.739 0.739 0.783
Sc1 0.494 0.494 0.518
Ta1 0.261 0.261 0.217

Properties
Theoretical density ... 7.21 Mg/m³
Fermi-level density of states ... 2.528 states/eV/f.u.

=====

S.
Entry from Alexandria via LeMat-Bulk: crystalline ScTaP2 at its relaxed geometry (PBEsol).

a = 3.582 Å, b = 3.582 Å, c = 5.632 Å
α = 108.54°, β = 108.54°, γ = 90.00°
Fractional coordinates of all 4 atoms:
P1 0.000 0.000 0.000
P2 0.750 0.250 0.500
Sc1 0.500 0.500 0.000
Ta1 0.250 0.750 0.500

Properties
Theoretical density ... 7.41 Mg/m³
Fermi-level density of states ... 3.855 states/eV/f.u.

=====

Stability summary - winner: P; margin: 42 meV/atom.

=====

P.
Entry from Alexandria via LeMat-Bulk: crystalline ScTlP2 at its relaxed geometry (PBEsol).

a = 4.321 Å, b = 5.011 Å, c = 4.321 Å
α = 64.46°, β = 90.00°, γ = 115.54°
Fractional coordinates of all 4 atoms:
P1 0.250 0.500 0.250
P2 0.750 0.500 0.750
Sc1 0.500 0.000 0.500
Tl1 0.000 0.000 0.000

Properties
Theoretical density ... 6.97 Mg/m³
Fermi-level density of states ... 1.785 states/eV/f.u.

=====

Q.
Entry from Alexandria via LeMat-Bulk: crystalline ScTlP2 at its relaxed geometry (PBEsol).

a = 3.546 Å, b = 4.535 Å, c = 4.535 Å
α = 91.04°, β = 90.00°, γ = 90.00°
Fractional coordinates of all 4 atoms:
P1 0.000 0.500 0.000
P2 0.000 0.000 0.500
Sc1 0.500 0.000 0.000
Tl1 0.500 0.500 0.500

Properties
Theoretical density ... 7.09 Mg/m³
Fermi-level density of states ... 1.836 states/eV/f.u.

=====

Stability summary - winner: Q; margin: 85 meV/atom.

=====

P.
Entry from Alexandria via LeMat-Bulk: crystalline Sc2TlP at its relaxed geometry (PBEsol).

a = 3.227 Å, b = 3.227 Å, c = 7.850 Å
α = 90.00°, β = 90.00°, γ = 102.35°
Fractional coordinates of all 4 atoms:
P1 0.500 0.500 0.000
Sc1 0.000 0.000 0.205
Sc2 0.000 0.000 0.795
Tl1 0.500 0.500 0.500

Properties
Theoretical density ... 6.76 Mg/m³
Fermi-level density of states ... 2.966 states/eV/f.u.

=====

Q.
Entry from Alexandria via LeMat-Bulk: crystalline Sc2TlP at its relaxed geometry (PBEsol).

a = 3.775 Å, b = 4.537 Å, c = 4.537 Å
α = 90.00°, β = 90.00°, γ = 90.00°
Fractional coordinates of all 4 atoms:
P1 0.500 0.000 0.000
Sc1 0.000 0.000 0.500
Sc2 0.000 0.500 0.000
Tl1 0.500 0.500 0.500

Properties
Theoretical density ... 6.95 Mg/m³
Fermi-level density of states ... 4.084 states/eV/f.u.

=====

R.
Entry from Alexandria via LeMat-Bulk: crystalline Sc2TlP at its relaxed geometry (PBEsol).

a = 3.609 Å, b = 3.609 Å, c = 7.797 Å
α = 76.62°, β = 76.62°, γ = 60.00°
Fractional coordinates of all 4 atoms:
Sc1 0.268 0.268 0.196
Sc2 0.732 0.732 0.804
P1 0.000 0.000 0.000
Tl1 0.500 0.500 0.500

Properties
Theoretical density ... 6.37 Mg/m³
Fermi-level density of states ... 2.350 states/eV/f.u.

=====

Stability summary - winner: R; margin: 232 meV/atom.

=====

P.
Entry from Alexandria via LeMat-Bulk: crystalline Sc3TlP at its relaxed geometry (PBEsol).

a = 3.926 Å, b = 6.429 Å, c = 8.387 Å
α = 99.60°, β = 90.00°, γ = 90.00°
Fractional coordinates of all 10 atoms:
Sc1 0.250 0.970 0.328
Sc2 0.250 0.468 0.336
Sc3 0.250 0.335 0.906
Sc4 0.750 0.030 0.672
Sc5 0.750 0.665 0.094
Sc6 0.750 0.532 0.664
P1 0.750 0.736 0.412
P2 0.250 0.264 0.588
Tl1 0.750 0.171 0.122
Tl2 0.250 0.829 0.878

Properties
Theoretical density ... 5.89 Mg/m³
Fermi-level density of states ... 5.378 states/eV/f.u.

=====

Q.
Entry from Alexandria via LeMat-Bulk: crystalline Sc3TlP at its relaxed geometry (PBEsol).

a = 4.833 Å, b = 4.833 Å, c = 4.833 Å
α = 90.00°, β = 90.00°, γ = 90.00°
Fractional coordinates of all 5 atoms:
Sc1 0.000 0.500 0.000
Sc2 0.000 0.000 0.500
Sc3 0.500 0.000 0.000
P1 0.000 0.000 0.000
Tl1 0.500 0.500 0.500

Properties
Theoretical density ... 5.45 Mg/m³
Fermi-level density of states ... 2.141 states/eV/f.u.

=====

Stability summary - winner: P; margin: 58 meV/atom.

=====

P.
Entry from Alexandria via LeMat-Bulk: crystalline YScP2 at its relaxed geometry (PBEsol).

a = 3.842 Å, b = 3.842 Å, c = 6.637 Å
α = 73.18°, β = 73.18°, γ = 60.00°
Fractional coordinates of all 4 atoms:
Y1 0.000 0.000 0.000
Sc1 0.500 0.500 0.500
P1 0.245 0.245 0.266
P2 0.755 0.755 0.734

Properties
Theoretical density ... 4.07 Mg/m³
Fermi-level density of states ... 0.548 states/eV/f.u.

=====

Q.
Entry from Alexandria via LeMat-Bulk: crystalline YScP2 at its relaxed geometry (PBEsol).

a = 3.850 Å, b = 3.850 Å, c = 5.435 Å
α = 90.00°, β = 90.00°, γ = 90.00°
Fractional coordinates of all 4 atoms:
Y1 0.000 0.000 0.500
Sc1 0.500 0.500 0.000
P1 0.000 0.000 0.000
P2 0.500 0.500 0.500

Properties
Theoretical density ... 4.04 Mg/m³
Fermi-level density of states ... 0.535 states/eV/f.u.

=====

Stability summary - winner: P; margin: 33 meV/atom.

=====

P.
Entry from Alexandria via LeMat-Bulk: crystalline P2Se at its relaxed geometry (PBEsol).

a = 3.143 Å, b = 3.143 Å, c = 6.119 Å
α = 104.88°, β = 104.88°, γ = 90.00°
Fractional coordinates of all 3 atoms:
P1 0.721 0.721 0.442
P2 0.279 0.279 0.558
Se1 0.500 0.500 0.000

Properties
Theoretical density ... 4.16 Mg/m³
Fermi-level density of states ... 1.067 states/eV/f.u.

=====

Q.
Entry from Alexandria via LeMat-Bulk: crystalline P2Se at its relaxed geometry (PBEsol).

a = 3.512 Å, b = 4.071 Å, c = 4.071 Å
α = 120.00°, β = 90.00°, γ = 90.00°
Fractional coordinates of all 3 atoms:
P1 0.500 0.667 0.333
P2 0.500 0.333 0.667
Se1 0.000 0.000 0.000

Properties
Theoretical density ... 4.64 Mg/m³
Fermi-level density of states ... 1.585 states/eV/f.u.

=====

Stability summary - winner: P; margin: 307 meV/atom.

=====

P.
Entry from Alexandria via LeMat-Bulk: crystalline Si2PSe at its relaxed geometry (PBEsol).

a = 3.421 Å, b = 3.421 Å, c = 6.881 Å
α = 104.40°, β = 104.40°, γ = 90.00°
Fractional coordinates of all 4 atoms:
P1 0.500 0.500 0.000
Si1 0.000 0.000 0.000
Si2 0.750 0.250 0.500
Se1 0.250 0.750 0.500

Properties
Theoretical density ... 3.66 Mg/m³
Fermi-level density of states ... 1.667 states/eV/f.u.

=====

Q.
Entry from Alexandria via LeMat-Bulk: crystalline Si2PSe at its relaxed geometry (PBEsol).

a = 3.105 Å, b = 4.454 Å, c = 4.563 Å
α = 90.00°, β = 90.00°, γ = 90.00°
Fractional coordinates of all 4 atoms:
P1 0.500 0.000 0.500
Si1 0.000 0.000 0.000
Si2 0.500 0.500 0.000
Se1 0.000 0.500 0.500

Properties
Theoretical density ... 4.37 Mg/m³
Fermi-level density of states ... 1.666 states/eV/f.u.

=====

Stability summary - winner: P; margin: 30 meV/atom.